i:
Density functional theory data (PBE) for AcPr4Er7 after structural relaxation.

Geometry as CIF:
```
data_AcPr4Er7
_chemical_formula_sum 'Ac2 Pr8 Er14'
_space_group_name_H-M_alt 'C 1 2/m 1'
_space_group_IT_number 12
_cell_length_a 12.363
_cell_length_b 6.077
_cell_length_c 12.789
_cell_angle_alpha 90.00
_cell_angle_beta 118.82
_cell_angle_gamma 90.00
loop_
_space_group_symop_operation_xyz
'x,y,z'
'-x,-y,-z'
'-x,y,-z'
'x,-y,z'
'x+1/2,y+1/2,z'
'-x+1/2,-y+1/2,-z'
'-x+1/2,y+1/2,-z'
'x+1/2,-y+1/2,z'
loop_
_atom_site_label
_atom_site_type_symbol
_atom_site_fract_x
_atom_site_fract_y
_atom_site_fract_z
Ac1 Ac 0.000 0.000 0.000
Pr1 Pr 0.065 0.500 0.327
Pr2 Pr 0.145 0.000 0.776
Er1 Er 0.000 0.500 0.000
Er2 Er 0.133 0.000 0.499
Er3 Er 0.205 0.500 0.922
Er4 Er 0.229 0.500 0.669
```

Output
V ... 35.1 Å³ per atom
M_tot ... 0.00 μB per formula unit

ii:
Density functional theory data (PBE) for AcPr4Er7 after structural relaxation.

Geometry as CIF:
```
data_AcPr4Er7
_chemical_formula_sum 'Ac1 Pr4 Er7'
_space_group_name_H-M_alt 'P -1'
_space_group_IT_number 2
_cell_length_a 6.875
_cell_length_b 7.109
_cell_length_c 8.805
_cell_angle_alpha 78.99
_cell_angle_beta 77.80
_cell_angle_gamma 76.67
loop_
_space_group_symop_operation_xyz
'x,y,z'
'-x,-y,-z'
loop_
_atom_site_label
_atom_site_type_symbol
_atom_site_fract_x
_atom_site_fract_y
_atom_site_fract_z
Ac1 Ac 0.000 0.000 0.000
Pr1 Pr 0.185 0.599 0.334
Pr2 Pr 0.350 0.232 0.680
Er1 Er 0.000 0.500 0.000
Er2 Er 0.181 0.104 0.364
Er3 Er 0.323 0.733 0.673
Er4 Er 0.477 0.256 0.024
```

Output
V ... 33.7 Å³ per atom
M_tot ... 0.00 μB per formula unit

Which of them is the most stable? Correct choice: ii.

i:
Density functional theory data (PBE) for AcPr4Er after structural relaxation.

Geometry as CIF:
```
data_AcPr4Er
_chemical_formula_sum 'Ac4 Pr16 Er4'
_space_group_name_H-M_alt 'C m c m'
_space_group_IT_number 63
_space_group_name_Hall '-C 2c 2'
_cell_length_a 11.979
_cell_length_b 7.201
_cell_length_c 11.901
_cell_angle_alpha 90.00
_cell_angle_beta 90.00
_cell_angle_gamma 90.00
loop_
_atom_site_label
_atom_site_type_symbol
_atom_site_fract_x
_atom_site_fract_y
_atom_site_fract_z
Ac1 Ac 0.000 0.002 0.250
Pr1 Pr 0.000 0.260 0.000
Pr2 Pr 0.250 0.245 0.750
Er1 Er 0.000 0.498 0.750
```

Output
V ... 42.8 Å³ per atom
M_tot ... 0.00 μB per formula unit

ii:
Density functional theory data (PBE) for AcPr4Er after structural relaxation.

Geometry as CIF:
```
data_AcPr4Er
_chemical_formula_sum 'Ac1 Pr4 Er1'
_space_group_name_H-M_alt 'P 4/m m m'
_space_group_IT_number 123
_space_group_name_Hall '-P 4 2'
_cell_length_a 4.844
_cell_length_b 4.844
_cell_length_c 10.885
_cell_angle_alpha 90.00
_cell_angle_beta 90.00
_cell_angle_gamma 90.00
loop_
_atom_site_label
_atom_site_type_symbol
_atom_site_fract_x
_atom_site_fract_y
_atom_site_fract_z
Ac1 Ac 0.000 0.000 0.000
Pr1 Pr 0.000 0.500 0.273
Er1 Er 0.500 0.500 0.500
```

Output
V ... 42.6 Å³ per atom
M_tot ... 0.00 μB per formula unit

Which of them is the most stable? Correct choice: ii.

i:
Density functional theory data (PBE) for AcPr3Er3 after structural relaxation.

Geometry as CIF:
```
data_AcPr3Er3
_chemical_formula_sum 'Ac12 Pr36 Er36'
_space_group_name_H-M_alt 'R 3 m'
_space_group_IT_number 160
_space_group_name_Hall 'R 3 -2"'
_cell_length_a 22.4223
_cell_length_b 22.4223
_cell_length_c 6.9251
_cell_angle_alpha 90.00
_cell_angle_beta 90.00
_cell_angle_gamma 120.00
loop_
_atom_site_label
_atom_site_type_symbol
_atom_site_fract_x
_atom_site_fract_y
_atom_site_fract_z
Ac1 Ac 0.0000 0.0000 0.0000
Ac2 Ac 0.1233 0.0617 0.4585
Pr1 Pr 0.0003 0.2632 0.7007
Pr2 Pr 0.1795 0.3590 0.9914
Pr3 Pr 0.1824 0.0912 0.9511
Er1 Er 0.0189 0.5095 0.1641
Er2 Er 0.0254 0.2320 0.1988
Er3 Er 0.0886 0.1772 0.8022
```

Output
V ... 35.9 Å³ per atom
M_tot ... 0.00 μB per formula unit

ii:
Density functional theory data (PBE) for AcPr3Er3 after structural relaxation.

Geometry as CIF:
```
data_AcPr3Er3
_chemical_formula_sum 'Ac2 Pr6 Er6'
_space_group_name_H-M_alt 'P 63/m'
_space_group_IT_number 176
_space_group_name_Hall '-P 6c'
_cell_length_a 9.8112
_cell_length_b 9.8112
_cell_length_c 5.8964
_cell_angle_alpha 90.00
_cell_angle_beta 90.00
_cell_angle_gamma 120.00
loop_
_atom_site_label
_atom_site_type_symbol
_atom_site_fract_x
_atom_site_fract_y
_atom_site_fract_z
Ac1 Ac 0.3333 0.6667 0.2500
Pr1 Pr 0.0938 0.4679 0.7500
Er1 Er 0.0422 0.2270 0.2500
```

Output
V ... 35.1 Å³ per atom
M_tot ... 0.00 μB per formula unit

Which of them is the most stable? Correct choice: ii.